# 1
First-principles (PBE-GGA) data for crystalline Er5Tm3In2 at its relaxed geometry, as listed in Alexandria.

Structure (extended XYZ):
```
20
Lattice="-6.2988 7.7956 3.1203 6.2988 -7.7956 3.1203 6.2988 7.7956 -3.1203" Properties=species:S:1:pos:R:3 pbc="T T T"
Er 1.5790 2.5618 0.0000
Er 9.4458 0.0000 1.5602
Er 0.0000 0.0000 1.5602
Er 3.1518 0.0000 1.5602
Er 7.8778 5.2338 0.0000
Er -1.5790 2.5618 3.1203
Er -3.1470 7.7956 1.5602
Er 3.1470 7.7956 1.5602
Er 0.0000 0.0000 4.6805
Er 4.7198 5.2338 3.1203
Tm 4.9400 3.5176 0.0000
Tm 6.2988 0.0000 1.5602
Tm 4.9400 -3.5176 3.1203
Tm 1.3588 11.3131 0.0000
Tm 0.0000 7.7956 1.5602
Tm 1.3588 4.2780 3.1203
In 8.0191 2.2896 0.0000
In 1.7202 5.5059 0.0000
In 4.5786 2.2896 3.1203
In -1.7202 5.5059 3.1203
```

Magnetic moment = 0.00 Bohr magnetons per cell
Symmetry = Ibam (72)
Energy of formation from the pure elements = 134 meV per atom
Fermi-level density of states = 24.4 states/eV per cell
Final energy = -4.04 eV per atom
Mass density = 8.52 g cm⁻³

# 2
First-principles (PBE-GGA) data for crystalline Er2TmIn2 at its relaxed geometry, as listed in Alexandria.

Structure (extended XYZ):
```
10
Lattice="3.7011 0.0000 0.0000 0.0000 5.2926 0.0000 -1.8541 0.0000 13.7272" Properties=species:S:1:pos:R:3 pbc="T T T"
Er -0.0006 1.3232 1.2987
Er -0.0016 1.3232 6.5161
Er 1.8486 3.9695 7.2111
Er 1.8476 3.9695 12.4285
Tm -0.0028 3.9695 4.1342
Tm 1.8498 1.3232 9.5930
In -0.0007 3.9695 9.7989
In -0.0041 1.3232 12.3230
In 1.8512 3.9695 1.4042
In 1.8477 1.3232 3.9283
```

Magnetic moment = 0.00 Bohr magnetons per cell
Symmetry = P2_1/m (11)
Excess energy over the best structure of this formula in the dataset = 0 meV per atom
Energy of formation from the pure elements = -366 meV per atom
Fermi-level density of states = 7.2 states/eV per cell
Final energy = -4.18 eV per atom
Mass density = 9.05 g cm⁻³

Which of these has the lowest mass density? Er5Tm3In2